Material: Ta3BeTe
Method: DFT, GGA-PBEsol
State: relaxed

formation energy without anion corrections = 2222 meV per atom
mass density = 9.44 Mg/m³

Cell lengths 4.925, 4.925, 4.925 Å; angles 90.00, 90.00, 90.00 degrees
Space group Pm-3m (No. 221)
Symmetry-distinct sites (fractional):
1 Ta 0.000 0.000 0.500 x3
2 Be 0.500 0.500 0.500 x1
3 Te 0.000 0.000 0.000 x1